(1)
The following is a PBE-GGA calculation of crystalline La5Cl at its relaxed geometry, from the Alexandria database.

Cell and atoms, written as extended XYZ:
```
6
Lattice="-2.957 -3.794 4.034 -1.391 -0.999 6.040 -8.208 3.983 0.861" Properties=species:S:1:pos:R:3 pbc="T T T"
La -4.241 0.101 3.171
La -8.744 -0.327 7.285
La -4.268 -1.811 5.856
La -8.973 -2.161 10.018
La -9.405 2.301 4.140
Cl -8.151 3.582 1.376
```

Results
symmetry	No. 8
E_tot	-4.814	eV per atom
offset from the most stable computed form	0	meV/atom
ΔE_f (raw)	-400	meV/atom


(2)
The following is a PBE-GGA calculation of crystalline LaCl3 at its relaxed geometry, from the Alexandria database.

Cell and atoms, written as extended XYZ:
```
16
Lattice="-2.918 -4.252 -3.700 -3.916 -2.478 5.935 -6.487 5.997 -1.776" Properties=species:S:1:pos:R:3 pbc="T T T"
Cl -5.426 3.800 -1.641
Cl -5.310 -2.381 -0.073
Cl -8.010 1.648 0.532
Cl -7.895 -4.533 2.100
Cl -8.645 2.392 -3.113
Cl -2.190 -1.118 1.274
Cl -8.725 -1.840 -0.156
Cl -7.082 -0.902 2.913
Cl -4.676 -3.126 3.572
Cl -11.131 0.384 -0.815
Cl -4.596 1.107 0.615
Cl -6.239 0.168 -2.454
La -9.858 0.038 1.844
La -4.199 -0.229 3.132
La -9.122 -0.504 -2.673
La -3.463 -0.771 -1.385
```

Results
symmetry	No. 62
E_tot	-4.982	eV per atom
ΔE_f (raw)	-2365	meV/atom


(3)
The following is a PBE-GGA calculation of crystalline LaCl3 at its relaxed geometry, from the Alexandria database.

Cell and atoms, written as extended XYZ:
```
4
Lattice="4.497 0.000 0.000 0.000 4.497 0.000 0.000 0.000 4.497" Properties=species:S:1:pos:R:3 pbc="T T T"
Cl 0.000 2.248 2.248
Cl 2.248 0.000 2.248
Cl 2.248 2.248 0.000
La 0.000 0.000 0.000
```

Results
symmetry	No. 221
E_tot	-4.532	eV per atom
ΔE_f (raw)	-1916	meV/atom


(4)
The following is a PBE-GGA calculation of crystalline La3Cl at its relaxed geometry, from the Alexandria database.

Cell and atoms, written as extended XYZ:
```
4
Lattice="-4.061 -4.702 1.558 2.218 -4.411 4.081 -0.211 6.398 -0.213" Properties=species:S:1:pos:R:3 pbc="T T T"
La -2.597 -1.430 2.082
La 0.542 -1.284 3.344
La -0.922 -4.556 2.819
Cl 0.000 0.000 0.000
```

Results
symmetry	No. 139
E_tot	-4.380	eV per atom
offset from the most stable computed form	512	meV/atom
ΔE_f (raw)	-223	meV/atom


(5)
The following is a PBE-GGA calculation of crystalline LaCl3 at its relaxed geometry, from the Alexandria database.

Cell and atoms, written as extended XYZ:
```
8
Lattice="7.606 0.000 0.000 -3.803 6.587 0.000 0.000 0.000 4.369" Properties=species:S:1:pos:R:3 pbc="T T T"
Cl 1.822 2.008 1.092
Cl 4.956 0.574 1.092
Cl 4.631 4.005 1.092
Cl 1.981 4.579 3.277
Cl -1.153 6.013 3.277
Cl -0.828 2.581 3.277
La 0.000 4.391 1.092
La 3.803 2.195 3.277
```

Results
symmetry	No. 176
E_tot	-5.026	eV per atom
ΔE_f (raw)	-2409	meV/atom


(6)
The following is a PBE-GGA calculation of crystalline LaCl3 at its relaxed geometry, from the Alexandria database.

Cell and atoms, written as extended XYZ:
```
8
Lattice="4.865 0.000 0.000 0.000 4.865 0.000 2.432 2.432 9.541" Properties=species:S:1:pos:R:3 pbc="T T T"
Cl 2.432 2.432 0.000
Cl 2.432 4.865 4.771
Cl 3.942 1.216 2.385
Cl 0.923 3.649 2.385
Cl 3.649 3.356 7.156
Cl 6.081 6.374 7.156
La 0.000 0.000 0.000
La 4.865 2.432 4.771
```

Results
symmetry	No. 122
E_tot	-4.454	eV per atom
ΔE_f (raw)	-1837	meV/atom


(7)
The following is a PBE-GGA calculation of crystalline La3Cl at its relaxed geometry, from the Alexandria database.

Cell and atoms, written as extended XYZ:
```
4
Lattice="-0.706 -3.181 1.889 3.459 1.489 0.046 -2.528 5.610 8.502" Properties=species:S:1:pos:R:3 pbc="T T T"
Cl 0.000 0.000 0.000
La -1.264 2.805 4.251
La 0.146 -0.434 3.079
La -1.309 2.796 7.973
```

Results
symmetry	No. 187
E_tot	-4.881	eV per atom
offset from the most stable computed form	11	meV/atom
ΔE_f (raw)	-724	meV/atom


(8)
The following is a PBE-GGA calculation of crystalline La3Cl at its relaxed geometry, from the Alexandria database.

Cell and atoms, written as extended XYZ:
```
4
Lattice="-4.115 1.023 -4.261 2.302 -1.593 -2.605 -2.054 -5.071 0.766" Properties=species:S:1:pos:R:3 pbc="T T T"
Cl 0.000 0.000 0.000
La -1.671 -4.548 -3.719
La 0.124 -3.332 -0.920
La -2.196 -1.092 -2.382
```

Results
symmetry	No. 10
E_tot	-4.580	eV per atom
offset from the most stable computed form	313	meV/atom
ΔE_f (raw)	-423	meV/atom


Which of these has the highest ΔE_f (raw)?
number 4


What is the E_tot in the second record?
-4.982 eV per atom


The lowest ΔE_f (raw) belongs to which entry?
number 5


Look up the E_tot of the second one.
-4.982 eV per atom